Material: IrBr3
Method: DFT, PBE-GGA
State: relaxed

Values from the calculation:
The calculation puts the relative energy among the computed polymorphs at 1652 meV/atom. The value obtained for the total magnetic moment is 0.00 μB/f.u. The calculation puts the density of states at the Fermi level at 6.1 states/eV/cell. Its energy relative to the elements, uncorrected is 1.3859 eV/atom.

Unit cell a=4.4266 b=4.4266 c=4.4266 alpha=90.00 beta=90.00 gamma=90.00
Closest atoms and distances in Å follow each position.
Atoms (fractional coordinates):
Ir  0.0000  0.0000  0.0000  12 Br 3.13
Br  0.0000  0.5000  0.5000  8 Br 3.13, 4 Ir 3.13
Br  0.5000  0.0000  0.5000  8 Br 3.13, 4 Ir 3.13
Br  0.5000  0.5000  0.0000  8 Br 3.13, 4 Ir 3.13